BaRh2Br | PBE | relaxed

Cell lengths 4.976, 4.976, 4.976 Å; angles 60.00, 60.00, 60.00 degrees
Fractional coordinates of all 4 atoms:
Ba 0.000 0.000 0.000
Rh 0.250 0.250 0.250
Rh 0.750 0.750 0.750
Br 0.500 0.500 0.500

Total magnetization   1.10 μB/f.u.
Energy relative to the elements, uncorrected   378 meV/atom
VASP energy   -4.197 eV per atom